First-principles (PBE+U) data for a relaxed structure of BaMnO2, as listed in Alexandria via LeMat-Bulk.

Properties
**Symmetry**: Fm-3m
**ρ**: 6.05 g cm⁻³
**Total DFT energy (no corrections)**: -6.186 eV/atom

The structure in POSCAR format:
```
BaMnO2
1.0
0.000 3.134 3.134
3.134 0.000 3.134
3.134 3.134 0.000
Ba Mn O
1 1 2
direct
0.000 0.000 0.000 Ba
0.500 0.500 0.500 Mn
0.250 0.250 0.250 O
0.750 0.750 0.750 O
```